(1)
Entry from Alexandria via LeMat-Bulk: CaBe2Pb after structural relaxation (PBE-GGA).

Output
- ΔH_f (0 K): 0.24 eV per atom

Lattice parameters (Å, degrees): 6.1159 6.1159 6.1159 142.30 140.98 55.38
Closest atoms and distances in Å follow each position.
Element x y z (fractional)
Pb  0.2547  0.7547  0.5000  2 Be 2.54
Be  0.8298  0.3298  0.5000  2 Be 2.10
Be  0.8947  0.8947  0.0000  2 Be 2.10
Ca  0.5208  0.5208  0.0000  6 Be 2.91-3.15, 2 Pb 3.25

(2)
Entry from Alexandria via LeMat-Bulk: Ca2BePb after structural relaxation (PBE-GGA).

Output
- Excess energy over the best structure of this formula in the dataset: 331.6 meV per atom
- ΔH_f (0 K): 0.22 eV per atom

Lattice parameters (Å, degrees): 3.7443 4.7294 6.5046 90.00 90.00 90.00
Closest atoms and distances in Å follow each position.
Element x y z (fractional)
Pb  0.0000  0.0000  0.4810  5 Ca 3.04-3.25
Ca  0.5000  0.5000  0.2946  2 Be 3.13-3.37, 4 Pb 3.25
Ca  0.0000  0.0000  0.9486  1 Pb 3.04, 4 Be 3.22
Be  0.5000  0.5000  0.7758  6 Ca 3.13-3.37

(3)
Entry from Alexandria via LeMat-Bulk: CaBePb2 after structural relaxation (PBE-GGA).

Output
- ΔH_f (0 K): 0.25 eV per atom

Lattice parameters (Å, degrees): 5.3595 5.3595 5.3595 60.00 60.00 60.00
Closest atoms and distances in Å follow each position.
Element x y z (fractional)
Be  0.5000  0.5000  0.5000  4 Pb 3.28, 4 Ca 3.28
Pb  0.0000  0.0000  0.0000  4 Pb 3.28, 4 Ca 3.28
Pb  0.2500  0.2500  0.2500  4 Pb 3.28, 4 Be 3.28
Ca  0.7500  0.7500  0.7500  4 Pb 3.28, 4 Be 3.28

(4)
Entry from Alexandria via LeMat-Bulk: CaBe4Pb after structural relaxation (PBE-GGA).

Output
- ΔH_f (0 K): 0.44 eV per atom

Lattice parameters (Å, degrees): 5.1251 5.1251 5.1251 60.00 60.00 60.00
Closest atoms and distances in Å follow each position.
Element x y z (fractional)
Be  0.3882  0.8353  0.3882  3 Be 2.29
Be  0.3882  0.3882  0.3882  3 Be 2.29
Be  0.3882  0.3882  0.8353  3 Be 2.29
Be  0.8353  0.3882  0.3882  3 Be 2.29
Ca  0.7500  0.7500  0.7500  12 Be 2.98, 4 Pb 3.14
Pb  0.0000  0.0000  0.0000  12 Be 3.04, 4 Ca 3.14

(5)
Entry from Alexandria via LeMat-Bulk: CaBePb after structural relaxation (PBE-GGA).

Output
- ΔH_f (0 K): 0.18 eV per atom

Lattice parameters (Å, degrees): 6.3666 6.2215 3.5588 75.83 71.35 32.82
Closest atoms and distances in Å follow each position.
Element x y z (fractional)
Pb  0.6353  0.6353  0.3647  4 Be 2.70-3.02
Ca  0.3472  0.3472  0.6528  4 Be 3.05-3.33, 3 Pb 3.32-3.38
Be  0.0175  0.0175  0.9825  4 Pb 2.70-3.02

(6)
Entry from Alexandria via LeMat-Bulk: CaBe2Pb after structural relaxation (PBE-GGA).

Output
- ΔH_f (0 K): 0.47 eV per atom

Lattice parameters (Å, degrees): 3.6098 3.6091 6.3893 90.00 90.00 90.00
Closest atoms and distances in Å follow each position.
Element x y z (fractional)
Pb  0.5000  0.5000  0.7500  8 Be 2.82
Ca  0.5000  0.5000  0.2500  2 Pb 3.19, 8 Be 3.25
Be  0.0000  0.0000  0.5637  1 Be 2.38
Be  0.0000  0.0000  0.9363  1 Be 2.38

(7)
Entry from Alexandria via LeMat-Bulk: CaBe2Pb after structural relaxation (PBE-GGA).

Output
- ΔH_f (0 K): 0.52 eV per atom

Lattice parameters (Å, degrees): 4.8157 4.8157 4.8157 60.00 60.00 60.00
Closest atoms and distances in Å follow each position.
Element x y z (fractional)
Pb  0.7500  0.7500  0.7500  4 Be 2.95, 4 Ca 2.95
Be  0.2500  0.2500  0.2500  4 Ca 2.95, 4 Be 2.95
Be  0.0000  0.0000  0.0000  4 Pb 2.95, 4 Be 2.95
Ca  0.5000  0.5000  0.5000  4 Pb 2.95, 4 Be 2.95

(8)
Entry from Alexandria via LeMat-Bulk: Ca2BePb after structural relaxation (PBE-GGA).

Output
- Excess energy over the best structure of this formula in the dataset: 243.4 meV per atom
- ΔH_f (0 K): 0.13 eV per atom

Lattice parameters (Å, degrees): 3.5956 3.5956 8.7242 90.00 90.00 90.00
Closest atoms and distances in Å follow each position.
Element x y z (fractional)
Ca  0.5000  0.5000  0.2919  4 Pb 3.45, 4 Ca 3.60, 1 Be 3.71
Ca  0.0000  0.0000  0.9325  4 Be 3.16, 1 Pb 3.26
Be  0.5000  0.5000  0.7166  4 Pb 2.89, 4 Ca 3.16
Pb  0.0000  0.0000  0.5590  4 Be 2.89

(9)
Entry from Alexandria via LeMat-Bulk: CaBePb after structural relaxation (PBE-GGA).

Output
- ΔH_f (0 K): -0.10 eV per atom

Lattice parameters (Å, degrees): 4.3098 4.3098 4.5242 90.00 90.00 120.00
Closest atoms and distances in Å follow each position.
Element x y z (fractional)
Be  0.0000  0.0000  0.8333  3 Pb 2.49
Ca  0.6667  0.3333  0.3335  6 Pb 3.36, 6 Be 3.36
Pb  0.3333  0.6667  0.8332  3 Be 2.49

(10)
Entry from Alexandria via LeMat-Bulk: CaBePb2 after structural relaxation (PBE-GGA).

Output
- ΔH_f (0 K): 0.12 eV per atom

Lattice parameters (Å, degrees): 6.1916 6.1916 6.1916 140.29 136.01 60.74
Closest atoms and distances in Å follow each position.
Element x y z (fractional)
Pb  0.9901  0.9901  0.0000  4 Be 3.17, 2 Pb 3.21, 2 Ca 3.26
Pb  0.6973  0.1973  0.5000  2 Be 2.71
Be  0.5374  0.5374  0.0000  2 Pb 2.71
Ca  0.2752  0.7752  0.5000  6 Pb 3.24-3.26, 4 Be 3.44-3.50

(11)
Entry from Alexandria via LeMat-Bulk: Ca2BePb after structural relaxation (PBE-GGA).

Output
- Excess energy over the best structure of this formula in the dataset: 83.1 meV per atom
- ΔH_f (0 K): -0.03 eV per atom

Lattice parameters (Å, degrees): 8.4202 5.3376 3.7231 90.04 63.70 129.37
Closest atoms and distances in Å follow each position.
Element x y z (fractional)
Ca  0.5000  0.0000  0.5000  4 Be 3.25, 4 Pb 3.25
Ca  0.0000  0.0000  0.0000  4 Pb 3.25, 4 Be 3.25
Be  0.5000  0.5000  0.0000  8 Ca 3.25
Pb  0.0000  0.5000  0.5000  8 Ca 3.25

(12)
Entry from Alexandria via LeMat-Bulk: Ca2BePb after structural relaxation (PBE-GGA).

Output
- Excess energy over the best structure of this formula in the dataset: 393.2 meV per atom
- ΔH_f (0 K): 0.28 eV per atom

Lattice parameters (Å, degrees): 5.3427 5.3427 5.3427 60.00 60.00 60.00
Closest atoms and distances in Å follow each position.
Element x y z (fractional)
Ca  0.0000  0.0000  0.0000  4 Pb 3.27, 4 Ca 3.27
Ca  0.2500  0.2500  0.2500  4 Ca 3.27, 4 Be 3.27
Be  0.5000  0.5000  0.5000  4 Ca 3.27, 4 Pb 3.27
Pb  0.7500  0.7500  0.7500  4 Be 3.27, 4 Ca 3.27

What did the eighth record say?
Entry from Alexandria via LeMat-Bulk: Ca2BePb after structural relaxation (PBE-GGA).

Output
- Excess energy over the best structure of this formula in the dataset: 243.4 meV per atom
- ΔH_f (0 K): 0.13 eV per atom

Lattice parameters (Å, degrees): 3.5956 3.5956 8.7242 90.00 90.00 90.00
Closest atoms and distances in Å follow each position.
Element x y z (fractional)
Ca  0.5000  0.5000  0.2919  4 Pb 3.45, 4 Ca 3.60, 1 Be 3.71
Ca  0.0000  0.0000  0.9325  4 Be 3.16, 1 Pb 3.26
Be  0.5000  0.5000  0.7166  4 Pb 2.89, 4 Ca 3.16
Pb  0.0000  0.0000  0.5590  4 Be 2.89

Look up the ΔH_f (0 K) of the second one. 0.22 eV per atom

Among the records above, which one has the lowest ΔH_f (0 K)? number 9